(1)
# Rb4Sn3PbBr12 (PBE, optimized geometry)
# Theoretical density: 3.79 g cm⁻³
# Volume: 1634.39 Å³ per cell
# E_form (uncorrected): -1.1791 eV per atom
data_Rb4Sn3PbBr12
_space_group_name_H-M_alt 'I m -3 m'
_space_group_IT_number 229
_space_group_name_Hall '-I 4 2 3'
_cell_length_a 11.7793
_cell_length_b 11.7793
_cell_length_c 11.7793
_cell_angle_alpha 90.00
_cell_angle_beta 90.00
_cell_angle_gamma 90.00
loop_
_atom_site_label
_atom_site_fract_x
_atom_site_fract_y
_atom_site_fract_z
Rb1 0.2500 0.2500 0.2500
Sn1 0.0000 0.0000 0.5000
Pb1 0.0000 0.0000 0.0000
Br1 0.0000 0.0000 0.2528
Br2 0.0000 0.2500 0.5000

(2)
# RbSnPbBr6 (PBE, optimized geometry)
# Theoretical density: 3.89 g cm⁻³
# Volume: 759.64 Å³ per cell
# E_form (uncorrected): -0.9780 eV per atom
data_RbSnPbBr6
_space_group_name_H-M_alt 'P -3 1 c'
_space_group_IT_number 163
_space_group_name_Hall '-P 3 2c'
_cell_length_a 7.6635
_cell_length_b 7.6635
_cell_length_c 14.9355
_cell_angle_alpha 90.00
_cell_angle_beta 90.00
_cell_angle_gamma 120.00
loop_
_atom_site_label
_atom_site_fract_x
_atom_site_fract_y
_atom_site_fract_z
Rb1 0.0000 0.0000 0.0000
Sn1 0.3333 0.6667 0.2500
Pb1 0.3333 0.6667 0.7500
Br1 0.0236 0.3839 0.1379

(3)
# RbSrPb2Br (PBE, optimized geometry)
# Theoretical density: 5.09 g cm⁻³
# Volume: 217.61 Å³ per cell
# E_form (uncorrected): -0.1910 eV per atom
data_RbSrPb2Br
_space_group_name_H-M_alt 'P 4/m m m'
_space_group_IT_number 123
_space_group_name_Hall '-P 4 2'
_cell_length_a 6.1235
_cell_length_b 6.1235
_cell_length_c 5.8032
_cell_angle_alpha 90.00
_cell_angle_beta 90.00
_cell_angle_gamma 90.00
loop_
_atom_site_label
_atom_site_fract_x
_atom_site_fract_y
_atom_site_fract_z
Rb1 0.0000 0.0000 0.0000
Sr1 0.5000 0.5000 0.0000
Pb1 0.0000 0.5000 0.5000
Br1 0.5000 0.5000 0.5000

(4)
# RbSr2PbBr8 (PBE, optimized geometry)
# Theoretical density: 3.82 g cm⁻³
# Volume: 481.43 Å³ per cell
# E_form (uncorrected): -1.5049 eV per atom
data_RbSr2PbBr8
_space_group_name_H-M_alt 'P 1 2/m 1'
_space_group_IT_number 10
_cell_length_a 7.0345
_cell_length_b 9.5958
_cell_length_c 7.1322
_cell_angle_alpha 90.00
_cell_angle_beta 90.21
_cell_angle_gamma 90.00
loop_
_space_group_symop_operation_xyz
'x,y,z'
'-x,-y,-z'
'-x,y,-z'
'x,-y,z'
loop_
_atom_site_label
_atom_site_fract_x
_atom_site_fract_y
_atom_site_fract_z
Rb1 0.0000 0.0000 0.0000
Sr1 0.5000 0.2513 0.5000
Pb1 0.0000 0.5000 0.0000
Br1 0.2475 0.5000 0.6535
Br2 0.2506 0.2839 0.1439
Br3 0.2640 0.0000 0.6145